Rb2MnOF5 | GGA+U | optimized geometry

Computed properties:
DFT total energy in eV/atom: -4.74

Cell lengths 6.3297, 6.3297, 8.2722 Å; angles 90.00, 90.00, 93.49 degrees
With the nearest neighbours (Å) after each atom.
Sites, in units of the cell vectors:
Rb  0.0003  0.4997  0.2500  10 F 3.02-3.18, 2 O 3.16-3.17
Rb  0.9997  0.5003  0.7500  10 F 3.02-3.18, 2 O 3.16-3.17
Rb  0.5003  0.9997  0.2500  10 F 3.02-3.18, 2 O 3.16-3.17
Rb  0.4997  0.0003  0.7500  10 F 3.02-3.18, 2 O 3.16-3.17
Mn  0.0000  0.0000  0.0000  6 F 1.87-2.07
Mn  0.0000  0.0000  0.5000  6 F 1.87-2.07
O  0.4991  0.5009  0.7500  4 Rb 3.16-3.17, 8 F 3.22-3.43
O  0.5009  0.4991  0.2500  4 Rb 3.16-3.17, 8 F 3.22-3.43
F  0.0019  0.9981  0.7500  2 Mn 2.07
F  0.2033  0.7967  0.0018  1 Mn 1.87
F  0.2033  0.7967  0.4982  1 Mn 1.87
F  0.2158  0.2158  0.0000  1 Mn 1.87
F  0.2158  0.2158  0.5000  1 Mn 1.87
F  0.7842  0.7842  0.0000  1 Mn 1.87
F  0.7842  0.7842  0.5000  1 Mn 1.87
F  0.7967  0.2033  0.5018  1 Mn 1.87
F  0.7967  0.2033  0.9982  1 Mn 1.87
F  0.9981  0.0019  0.2500  2 Mn 2.07